Record 1
Computed, not measured: Ni2IrPd at its PBEsol-relaxed geometry at the meta-GGA SCAN level of DFT.

Output
The total magnetization is 3.24 μB/f.u. As for the symmetry: No. 225. For the density of states at the Fermi level, the calculation gives 4.3 states/eV/f.u. The value obtained for the formation enthalpy at 0 K is 157 meV per atom.

Cell lengths 4.127, 4.127, 4.127 Å; angles 60.00, 60.00, 60.00 degrees
Positions (direct):
Ir1 0.500 0.500 0.500
Pd1 0.000 0.000 0.000
Ni1 0.250 0.250 0.250
Ni2 0.750 0.750 0.750


Record 2
Computed, not measured: NiIrPd3 at its PBEsol-relaxed geometry at the meta-GGA SCAN level of DFT.

Output
The total magnetization is 0.12 μB/f.u. As for the symmetry: No. 221. For the density of states at the Fermi level, the calculation gives 7.2 states/eV/f.u. The value obtained for the formation enthalpy at 0 K is 1348 meV per atom.

Cell lengths 4.359, 4.359, 4.359 Å; angles 90.00, 90.00, 90.00 degrees
Positions (direct):
Pd1 0.000 0.500 0.000
Pd2 0.000 0.000 0.500
Pd3 0.500 0.000 0.000
Ir1 0.500 0.500 0.500
Ni1 0.000 0.000 0.000